Here is SmBN after structural relaxation from the Alexandria database. Energies are from GGA-PBE.

The structure in POSCAR format:
```
SmBN
1.0
-0.4470 -2.6016 -2.7376
-0.7908 -2.6311 2.6295
-2.5171 3.3623 -0.1427
Sm N B
1 1 1
Direct
0.9450 0.9450 0.8899
0.5551 0.5551 0.1102
0.3499 0.3499 0.6998
```

Summary:
The calculation puts the magnetic moment at 0.00 μB/f.u. Its excess energy over the best structure of this formula in the dataset is 455 meV per atom. The calculation puts the calculated density at 6.2 g/cm³. For the formation energy (no corrections), the calculation gives -688 meV/atom. The density of states at the Fermi level is 0.318 states/eV per atom. The calculation puts the volume at 15.57 Å³/atom.